{
  "formula": "Lu6WO12",
  "functional": "PBE with a Hubbard U",
  "state": "optimized geometry",
  "dft_energy_ev_per_atom": -8.3430,
  "magmom_total_mub_per_cell": 0.00,
  "lattice_angstrom": [[4.8200, 2.7828, 3.0496], [-4.8200, 2.7828, 3.0496], [0.0000, -5.5657, 3.0496]],
  "species": ["Lu", "Lu", "Lu", "Lu", "Lu", "Lu", "W", "O", "O", "O", "O", "O", "O", "O", "O", "O", "O", "O", "O"],
  "fractional_positions": [[0.1101, 0.6442, 0.8210], [0.1790, 0.8899, 0.3558], [0.3558, 0.1790, 0.8899], [0.6442, 0.8210, 0.1101], [0.8210, 0.1101, 0.6442], [0.8899, 0.3558, 0.1790], [0.5000, 0.5000, 0.5000], [0.0730, 0.3225, 0.9109], [0.0891, 0.9270, 0.6775], [0.1991, 0.5378, 0.4153], [0.3225, 0.9109, 0.0730], [0.4153, 0.1991, 0.5378], [0.4622, 0.5847, 0.8009], [0.5378, 0.4153, 0.1991], [0.5847, 0.8009, 0.4622], [0.6775, 0.0891, 0.9270], [0.8009, 0.4622, 0.5847], [0.9109, 0.0730, 0.3225], [0.9270, 0.6775, 0.0891]]
}